Entry 1:
The following is a PBE calculation of an optimized crystal structure of Na3MgOs, from Alexandria.

The structure in POSCAR format:
```
Na3MgOs
1.0
5.6239 0.0000 0.0000
0.0000 5.6239 0.0000
0.0000 0.0000 5.6239
Na Mg Os
3 1 1
direct
0.0000 0.0000 0.5000
0.0000 0.5000 0.0000
0.5000 0.0000 0.0000
0.5000 0.5000 0.5000
0.0000 0.0000 0.0000
```

Computed properties:
* formation energy from the elements: 1.2733 eV per atom
* total DFT energy (no corrections): -2.083 eV/atom


Entry 2:
The following is a PBE calculation of an optimized crystal structure of AcTb6NdHo2, from Alexandria.

The structure in POSCAR format:
```
AcTb6NdHo2
1.0
4.6367 -7.6421 0.0000
4.6367 7.6421 0.0000
-0.8935 0.0000 9.5705
Ac Tb Nd Ho
2 12 2 4
direct
0.0319 0.9681 0.7500
0.9681 0.0319 0.2500
0.0182 0.5558 0.6785
0.1223 0.7503 0.0572
0.2497 0.8777 0.4428
0.2904 0.5117 0.8829
0.4442 0.9818 0.8215
0.4883 0.7096 0.6171
0.5117 0.2904 0.3829
0.5558 0.0182 0.1785
0.7096 0.4883 0.1171
0.7503 0.1223 0.5572
0.8777 0.2497 0.9428
0.9818 0.4442 0.3215
0.4101 0.5899 0.2500
0.5899 0.4101 0.7500
0.1992 0.3110 0.5486
0.3110 0.1992 0.0486
0.6890 0.8008 0.9514
0.8008 0.6890 0.4514
```

Computed properties:
* formation energy from the elements: 0.1297 eV per atom
* total DFT energy (no corrections): -4.452 eV/atom


Entry 3:
The following is a PBE calculation of an optimized crystal structure of CsLiSn2I6, from Alexandria.

The structure in POSCAR format:
```
CsLiSn2I6
1.0
8.3237 0.0000 0.0000
4.1447 7.2295 0.0000
4.1454 2.3777 7.6478
Cs Li Sn I
1 1 2 6
direct
0.0000 0.0000 0.0000
0.4526 0.4456 0.6488
0.2701 0.2722 0.1859
0.7904 0.7905 0.6263
0.0586 0.4800 0.8520
0.1935 0.8977 0.3848
0.4792 0.6071 0.8538
0.5224 0.1974 0.3859
0.6062 0.0570 0.8561
0.8922 0.5249 0.3844
```

Computed properties:
* total DFT energy (no corrections): -2.829 eV/atom


Entry 4:
The following is a PBE calculation of an optimized crystal structure of HoHPdPt2, from Alexandria.

The structure in POSCAR format:
```
HoHPdPt2
1.0
4.1312 0.0000 0.0000
0.0000 4.1312 0.0000
0.0000 0.0000 4.2156
Ho H Pd Pt
1 1 1 2
direct
0.0000 0.0000 0.0000
0.5000 0.5000 0.5000
0.5000 0.5000 0.0000
0.0000 0.5000 0.5000
0.5000 0.0000 0.5000
```

Computed properties:
* total DFT energy (no corrections): -5.819 eV/atom